Entry 1:
Crystalline NiSnTeI2 at its relaxed geometry, computed with PBE.

a = 5.9109 Å, b = 5.9109 Å, c = 5.8885 Å
α = 90.00°, β = 90.00°, γ = 90.00°
With the nearest neighbours (Å) after each atom.
Space group P4/mmm (No. 123)
Asymmetric unit:
Ni 0.0000 0.0000 0.0000 [1 per cell]  8 I 4.17, 4 Te 4.18
Sn 0.5000 0.5000 0.5000 [1 per cell]  2 Te 2.94, 4 I 2.96
Te 0.5000 0.5000 0.0000 [1 per cell]  2 Sn 2.94
I 0.0000 0.5000 0.5000 [2 per cell]  2 Sn 2.96

Size of the total moment: 1.4 μB/cell
Fermi-level density of states: 1.36 states/eV/atom
Energy relative to the elements, uncorrected: 0.74 eV/atom

=====

Entry 2:
Crystalline Y2NiSnI at its relaxed geometry, computed with PBE.

a = 5.5910 Å, b = 5.5910 Å, c = 5.6855 Å
α = 90.00°, β = 90.00°, γ = 90.00°
With the nearest neighbours (Å) after each atom.
Space group P4/mmm (No. 123)
Asymmetric unit:
Y 0.0000 0.5000 0.0000 [2 per cell]  2 I 2.80
Ni 0.0000 0.0000 0.5000 [1 per cell]  4 Sn 3.95, 8 Y 3.99
Sn 0.5000 0.5000 0.5000 [1 per cell]  2 I 2.84
I 0.5000 0.5000 0.0000 [1 per cell]  4 Y 2.80, 2 Sn 2.84

Size of the total moment: 0.6 μB/cell
Fermi-level density of states: 1.37 states/eV/atom
Energy relative to the elements, uncorrected: 0.91 eV/atom

=====

Number 1: energy -0.181 Ry per atom. Number 2: energy -0.290 Ry per atom.